1.
Below is an optimized crystal structure of CdCuW2, with properties calculated at the PBE level.

a b c (Å): 2.700 4.155 5.852
angles (deg): 90.00 90.00 90.00
Element x y z (fractional)
Cd 0.000 0.000 0.000
Cu 0.500 0.500 0.238
W 0.000 0.000 0.488
W 0.500 0.500 0.709

Results
Crystal system = orthorhombic

=====

2.
Below is an optimized crystal structure of CdCuW2, with properties calculated at the PBE level.

a b c (Å): 3.263 3.263 6.174
angles (deg): 90.00 90.00 90.00
Element x y z (fractional)
Cd 0.000 0.000 0.000
Cu 0.000 0.000 0.500
W 0.500 0.500 0.301
W 0.500 0.500 0.699

Results
Crystal system = tetragonal

=====

In kg/m3, the theoretical density values for the records above are, in order, 13753, 13733.
In meV/atom, the E_form values for the records above are, in order, 503, 705.